Entry 1:
This record from Alexandria via LeMat-Bulk describes a geometry-optimized Sm6TmHg2 structure. The functional is GGA-PBE.

Values from the calculation:
Theoretical density = 8.90 g cm⁻³
Formation energy = -209 meV per atom
Crystal system = monoclinic

Unit cell a=12.7935 b=3.7680 c=12.0381 alpha=90.00 beta=108.87 gamma=90.00
Closest atoms and distances in Å follow each position.
Space group C2/m (No. 12)
Unique sites:
Sm  0.0208  0.0000  0.3364 [4 per cell]  2 Hg 3.22, 3 Sm 3.51-3.57
Sm  0.1867  0.5000  0.8767 [4 per cell]  2 Hg 3.25, 5 Sm 3.45-3.57
Sm  0.1902  0.5000  0.5898 [4 per cell]  2 Hg 3.39, 10 Sm 3.47-3.77
Tm  0.0000  0.0000  0.0000 [2 per cell]  4 Hg 3.07
Hg  0.1372  0.5000  0.1938 [4 per cell]  2 Tm 3.07, 6 Sm 3.22-3.39

Entry 2:
This record from Alexandria via LeMat-Bulk describes a geometry-optimized Sm3Tm2Hg6 structure. The functional is GGA-PBE.

Values from the calculation:
Theoretical density = 9.49 g cm⁻³
Formation energy = -110 meV per atom
Crystal system = tetragonal

Unit cell a=5.1321 b=5.1321 c=26.4680 alpha=90.00 beta=90.00 gamma=90.00
Closest atoms and distances in Å follow each position.
Space group I4/mmm (No. 139)
Unique sites:
Sm  0.0000  0.0000  0.0000 [2 per cell]  8 Hg 3.11
Sm  0.0000  0.0000  0.1467 [4 per cell]  5 Hg 3.14-3.33
Tm  0.0000  0.0000  0.3786 [4 per cell]  5 Hg 2.95-3.00
Hg  0.0000  0.0000  0.2652 [4 per cell]  1 Tm 3.00, 1 Sm 3.14
Hg  0.0000  0.5000  0.0666 [8 per cell]  2 Tm 2.95, 2 Sm 3.11

Entry 3:
This record from Alexandria via LeMat-Bulk describes a geometry-optimized Sm4TmHg structure. The functional is GGA-PBE.

Values from the calculation:
Theoretical density = 8.51 g cm⁻³
Formation energy = -46 meV per atom
Crystal system = monoclinic

Unit cell a=8.8600 b=14.0841 c=6.4264 alpha=90.00 beta=109.08 gamma=90.00
Closest atoms and distances in Å follow each position.
Space group C2/c (No. 15)
Unique sites:
Sm  0.0992  0.1894  0.0472 [8 per cell]  2 Hg 3.22-3.23, 4 Sm 3.37-3.59, 1 Tm 3.57
Sm  0.2157  0.3841  0.3756 [8 per cell]  2 Hg 3.30-3.31, 4 Sm 3.37-3.68, 2 Tm 3.45-3.54
Tm  0.0000  0.4073  0.7500 [4 per cell]  10 Sm 3.45-3.86
Hg  0.0000  0.0012  0.7500 [4 per cell]  2 Hg 3.21, 8 Sm 3.22-3.31